A relaxed YAgS2 crystal. Source: OQMD, functional PBE-GGA.

Magnetization   0.00 μB/f.u.
Total DFT energy (no corrections)   -5.676 eV/atom

Cell: 3.931 3.931 6.516 Å, 90.00 90.00 120.00°
Sites, in units of the cell vectors:
Y1 0.000 0.000 0.000
Ag1 0.000 0.000 0.500
S1 0.333 0.667 0.240
S2 0.667 0.333 0.760

A relaxed Ho3Br2 crystal. Source: OQMD, functional PBE-GGA.

Magnetization   0.00 μB/f.u.
Total DFT energy (no corrections)   -3.991 eV/atom

Cell: 7.554 7.554 7.554 Å, 55.45 55.45 55.45°
Sites, in units of the cell vectors:
Ho1 0.098 0.750 0.402
Ho2 0.250 0.598 0.902
Ho3 0.402 0.098 0.750
Ho4 0.598 0.902 0.250
Ho5 0.750 0.402 0.098
Ho6 0.902 0.250 0.598
Br1 0.167 0.167 0.167
Br2 0.333 0.333 0.333
Br3 0.667 0.667 0.667
Br4 0.833 0.833 0.833

A relaxed AcZnPb crystal. Source: OQMD, functional PBE-GGA.

Magnetization   0.00 μB/f.u.
Offset from the most stable computed form   0 meV/atom

Cell: 7.209 7.209 7.209 Å, 90.00 90.00 90.00°
Sites, in units of the cell vectors:
Ac1 0.000 0.000 0.000
Ac2 0.000 0.500 0.500
Ac3 0.500 0.000 0.500
Ac4 0.500 0.500 0.000
Zn1 0.250 0.250 0.250
Zn2 0.250 0.750 0.750
Zn3 0.750 0.250 0.750
Zn4 0.750 0.750 0.250
Pb1 0.000 0.000 0.500
Pb2 0.000 0.500 0.000
Pb3 0.500 0.000 0.000
Pb4 0.500 0.500 0.500

A relaxed RbAs2OsO8 crystal. Source: OQMD, functional PBE-GGA.

Magnetization   3.00 μB/f.u.
Total DFT energy (no corrections)   -6.265 eV/atom

Cell: 4.916 4.916 8.637 Å, 90.00 90.00 120.00°
Sites, in units of the cell vectors:
Rb1 0.000 0.000 0.000
As1 0.333 0.667 0.708
As2 0.667 0.333 0.292
Os1 0.000 0.000 0.500
O1 0.010 0.325 0.636
O2 0.315 0.990 0.636
O3 0.325 0.315 0.364
O4 0.333 0.667 0.899
O5 0.667 0.333 0.101
O6 0.675 0.685 0.636
O7 0.685 0.010 0.364
O8 0.990 0.675 0.364

A relaxed Li2HgOs crystal. Source: OQMD, functional PBE-GGA.

Magnetization   1.12 μB/f.u.
Total DFT energy (no corrections)   -3.364 eV/atom

Cell: 6.325 6.325 6.325 Å, 90.00 90.00 90.00°
Sites, in units of the cell vectors:
Li1 0.000 0.000 0.000
Li2 0.000 0.500 0.500
Li3 0.250 0.250 0.250
Li4 0.250 0.750 0.750
Li5 0.500 0.000 0.500
Li6 0.500 0.500 0.000
Li7 0.750 0.250 0.750
Li8 0.750 0.750 0.250
Hg1 0.250 0.250 0.750
Hg2 0.250 0.750 0.250
Hg3 0.750 0.250 0.250
Hg4 0.750 0.750 0.750
Os1 0.000 0.000 0.500
Os2 0.000 0.500 0.000
Os3 0.500 0.000 0.000
Os4 0.500 0.500 0.500

A relaxed Pr2Cu2SiSn crystal. Source: OQMD, functional PBE-GGA.

Magnetization   0.00 μB/f.u.
Total DFT energy (no corrections)   -4.957 eV/atom

Cell: 4.391 4.391 8.044 Å, 90.00 90.00 120.00°
Sites, in units of the cell vectors:
Pr1 0.000 0.000 0.238
Pr2 0.000 0.000 0.762
Cu1 0.333 0.667 0.000
Cu2 0.667 0.333 0.500
Si1 0.667 0.333 0.000
Sn1 0.333 0.667 0.500

What did the fifth record say?
A relaxed Li2HgOs crystal. Source: OQMD, functional PBE-GGA.

Magnetization   1.12 μB/f.u.
Total DFT energy (no corrections)   -3.364 eV/atom

Cell: 6.325 6.325 6.325 Å, 90.00 90.00 90.00°
Sites, in units of the cell vectors:
Li1 0.000 0.000 0.000
Li2 0.000 0.500 0.500
Li3 0.250 0.250 0.250
Li4 0.250 0.750 0.750
Li5 0.500 0.000 0.500
Li6 0.500 0.500 0.000
Li7 0.750 0.250 0.750
Li8 0.750 0.750 0.250
Hg1 0.250 0.250 0.750
Hg2 0.250 0.750 0.250
Hg3 0.750 0.250 0.250
Hg4 0.750 0.750 0.750
Os1 0.000 0.000 0.500
Os2 0.000 0.500 0.000
Os3 0.500 0.000 0.000
Os4 0.500 0.500 0.500